No. 1
Cs2NpGeTe4 | PBE-GGA | optimized geometry

Properties
SG	P2/m, No. 10

Lattice parameters (Å, degrees): 7.935 4.582 9.131 90.00 106.40 90.00
Fractional positions:
Cs (0.000, 0.000, 0.000)
Cs (0.500, 0.500, 0.000)
Np (0.000, 0.500, 0.500)
Ge (0.500, 0.000, 0.500)
Te (0.229, 0.000, 0.683)
Te (0.271, 0.500, 0.321)
Te (0.729, 0.500, 0.679)
Te (0.771, 0.000, 0.317)

=====

No. 2
Cs2GeO3 | PBE-GGA | optimized geometry

Properties
SG	P2_1/c, No. 14

Lattice parameters (Å, degrees): 7.049 14.611 17.709 90.00 108.21 90.00
Fractional positions:
Cs (0.015, 0.102, 0.084)
Cs (0.015, 0.398, 0.584)
Cs (0.104, 0.629, 0.863)
Cs (0.104, 0.871, 0.363)
Cs (0.127, 0.184, 0.302)
Cs (0.127, 0.316, 0.802)
Cs (0.280, 0.085, 0.528)
Cs (0.280, 0.415, 0.028)
Cs (0.358, 0.014, 0.785)
Cs (0.358, 0.486, 0.285)
Cs (0.460, 0.168, 0.987)
Cs (0.460, 0.332, 0.487)
Cs (0.540, 0.668, 0.513)
Cs (0.540, 0.832, 0.013)
Cs (0.642, 0.514, 0.715)
Cs (0.642, 0.986, 0.215)
Cs (0.720, 0.585, 0.972)
Cs (0.720, 0.915, 0.472)
Cs (0.873, 0.684, 0.198)
Cs (0.873, 0.816, 0.698)
Cs (0.896, 0.129, 0.637)
Cs (0.896, 0.371, 0.137)
Cs (0.985, 0.602, 0.416)
Cs (0.985, 0.898, 0.916)
Ge (0.155, 0.638, 0.637)
Ge (0.155, 0.862, 0.137)
Ge (0.268, 0.646, 0.106)
Ge (0.268, 0.854, 0.606)
Ge (0.452, 0.739, 0.286)
Ge (0.452, 0.761, 0.786)
Ge (0.548, 0.239, 0.214)
Ge (0.548, 0.261, 0.714)
Ge (0.732, 0.146, 0.394)
Ge (0.732, 0.354, 0.894)
Ge (0.845, 0.138, 0.863)
Ge (0.845, 0.362, 0.363)
O (0.075, 0.105, 0.854)
O (0.075, 0.395, 0.354)
O (0.108, 0.557, 0.114)
O (0.108, 0.943, 0.614)
O (0.113, 0.750, 0.086)
O (0.113, 0.750, 0.586)
O (0.265, 0.565, 0.584)
O (0.265, 0.935, 0.084)
O (0.300, 0.236, 0.660)
O (0.300, 0.264, 0.160)
O (0.300, 0.691, 0.337)
O (0.300, 0.809, 0.837)
O (0.329, 0.655, 0.738)
O (0.329, 0.845, 0.238)
O (0.394, 0.632, 0.036)
O (0.394, 0.868, 0.536)
O (0.459, 0.665, 0.203)
O (0.459, 0.835, 0.703)
O (0.541, 0.165, 0.297)
O (0.541, 0.335, 0.797)
O (0.606, 0.132, 0.464)
O (0.606, 0.368, 0.964)
O (0.671, 0.155, 0.762)
O (0.671, 0.345, 0.262)
O (0.700, 0.191, 0.163)
O (0.700, 0.309, 0.663)
O (0.700, 0.736, 0.840)
O (0.700, 0.764, 0.340)
O (0.735, 0.065, 0.916)
O (0.735, 0.435, 0.416)
O (0.887, 0.250, 0.414)
O (0.887, 0.250, 0.914)
O (0.892, 0.057, 0.386)
O (0.892, 0.443, 0.886)
O (0.925, 0.605, 0.646)
O (0.925, 0.895, 0.146)

=====

No. 3
Cs2GeO | PBE-GGA | optimized geometry

Properties
SG	Fm-3m, No. 225

Lattice parameters (Å, degrees): 5.625 5.625 5.625 60.00 60.00 60.00
Fractional positions:
Cs (0.250, 0.250, 0.250)
Cs (0.750, 0.750, 0.750)
Ge (0.000, 0.000, 0.000)
O (0.500, 0.500, 0.500)

=====

No. 4
Cs2GeO3 | PBE-GGA | optimized geometry

Properties
SG	Cmce, No. 64

Lattice parameters (Å, degrees): 7.241 7.241 14.531 90.00 90.00 132.60
Fractional positions:
Cs (0.039, 0.961, 0.852)
Cs (0.145, 0.855, 0.441)
Cs (0.355, 0.645, 0.941)
Cs (0.461, 0.539, 0.352)
Cs (0.539, 0.461, 0.648)
Cs (0.645, 0.355, 0.059)
Cs (0.855, 0.145, 0.559)
Cs (0.961, 0.039, 0.148)
Ge (0.240, 0.760, 0.681)
Ge (0.260, 0.740, 0.181)
Ge (0.740, 0.260, 0.819)
Ge (0.760, 0.240, 0.319)
O (0.031, 0.469, 0.750)
O (0.111, 0.889, 0.659)
O (0.180, 0.820, 0.084)
O (0.320, 0.680, 0.584)
O (0.389, 0.611, 0.159)
O (0.469, 0.031, 0.250)
O (0.531, 0.969, 0.750)
O (0.611, 0.389, 0.841)
O (0.680, 0.320, 0.416)
O (0.820, 0.180, 0.916)
O (0.889, 0.111, 0.341)
O (0.969, 0.531, 0.250)

=====

No. 5
CsGe3O | PBE-GGA | optimized geometry

Properties
SG	Pm-3m, No. 221

Lattice parameters (Å, degrees): 4.861 4.861 4.861 90.00 90.00 90.00
Fractional positions:
Cs (0.000, 0.000, 0.000)
Ge (0.000, 0.500, 0.500)
Ge (0.500, 0.000, 0.500)
Ge (0.500, 0.500, 0.000)
O (0.500, 0.500, 0.500)

=====

No. 6
CsGeO3 | PBE-GGA | optimized geometry

Properties
SG	Pm-3m, No. 221

Lattice parameters (Å, degrees): 4.446 4.446 4.446 90.00 90.00 90.00
Fractional positions:
Cs (0.000, 0.000, 0.000)
Ge (0.500, 0.500, 0.500)
O (0.000, 0.000, 0.500)
O (0.000, 0.500, 0.000)
O (0.500, 0.000, 0.000)

=====

No. 7
CsGeO2 | PBE-GGA | optimized geometry

Properties
SG	I-42d, No. 122

Lattice parameters (Å, degrees): 6.193 6.193 6.193 120.05 120.05 89.91
Fractional positions:
Cs (0.000, 0.000, 0.000)
Cs (0.750, 0.250, 0.500)
Ge (0.250, 0.750, 0.500)
Ge (0.500, 0.500, 0.000)
O (0.306, 0.625, 0.181)
O (0.375, 0.556, 0.681)
O (0.444, 0.125, 0.819)
O (0.875, 0.694, 0.319)

=====

No. 8
Cs3Ge2O4 | PBE-GGA | optimized geometry

Properties
SG	C2/m, No. 12

Lattice parameters (Å, degrees): 9.063 9.063 7.316 103.80 103.80 21.88
Fractional positions:
Cs (0.000, 0.000, 0.000)
Cs (0.352, 0.352, 0.455)
Cs (0.648, 0.648, 0.545)
Ge (0.307, 0.307, 0.931)
Ge (0.693, 0.693, 0.069)
O (0.180, 0.180, 0.222)
O (0.390, 0.390, 0.115)
O (0.610, 0.610, 0.885)
O (0.820, 0.820, 0.778)

=====

No. 9
CsGeO3 | PBE-GGA | optimized geometry

Properties
SG	Pmmm, No. 47

Lattice parameters (Å, degrees): 3.027 3.882 6.411 90.00 90.00 90.00
Fractional positions:
Cs (0.000, 0.000, 0.000)
Ge (0.000, 0.500, 0.500)
O (0.000, 0.000, 0.500)
O (0.500, 0.500, 0.304)
O (0.500, 0.500, 0.696)

=====

No. 10
CsGeO2 | PBE-GGA | optimized geometry

Properties
SG	Pnma, No. 62

Lattice parameters (Å, degrees): 7.527 4.017 12.412 90.00 90.00 90.00
Fractional positions:
Cs (0.065, 0.250, 0.152)
Cs (0.435, 0.750, 0.652)
Cs (0.565, 0.250, 0.348)
Cs (0.935, 0.750, 0.848)
Ge (0.079, 0.750, 0.427)
Ge (0.421, 0.250, 0.927)
Ge (0.579, 0.750, 0.073)
Ge (0.921, 0.250, 0.573)
O (0.015, 0.750, 0.581)
O (0.193, 0.250, 0.911)
O (0.307, 0.750, 0.411)
O (0.485, 0.250, 0.081)
O (0.515, 0.750, 0.919)
O (0.693, 0.250, 0.589)
O (0.807, 0.750, 0.089)
O (0.985, 0.250, 0.419)

=====

No. 11
CsGe3O | PBE-GGA | optimized geometry

Properties
SG	Pm-3m, No. 221

Lattice parameters (Å, degrees): 5.830 5.830 5.830 90.00 90.00 90.00
Fractional positions:
Cs (0.000, 0.000, 0.000)
Ge (0.000, 0.000, 0.500)
Ge (0.000, 0.500, 0.000)
Ge (0.500, 0.000, 0.000)
O (0.500, 0.500, 0.500)

=====

No. 12
CsGeO2 | PBE-GGA | optimized geometry

Properties
SG	Ama2, No. 40

Lattice parameters (Å, degrees): 5.264 6.649 6.649 122.52 90.00 90.00
Fractional positions:
Cs (0.250, 0.177, 0.823)
Cs (0.750, 0.823, 0.177)
Ge (0.000, 0.469, 0.469)
Ge (0.500, 0.469, 0.469)
O (0.250, 0.231, 0.370)
O (0.250, 0.638, 0.397)
O (0.750, 0.370, 0.231)
O (0.750, 0.397, 0.638)

=====

No. 13
Cs5Ge2O6 | PBE-GGA | optimized geometry

Properties
SG	C2/c, No. 15

Lattice parameters (Å, degrees): 7.156 7.156 15.541 101.43 101.43 69.70
Fractional positions:
Cs (0.102, 0.898, 0.750)
Cs (0.178, 0.707, 0.004)
Cs (0.287, 0.411, 0.284)
Cs (0.293, 0.822, 0.496)
Cs (0.411, 0.287, 0.784)
Cs (0.589, 0.713, 0.216)
Cs (0.707, 0.178, 0.504)
Cs (0.713, 0.589, 0.716)
Cs (0.822, 0.293, 0.996)
Cs (0.898, 0.102, 0.250)
Ge (0.133, 0.419, 0.570)
Ge (0.419, 0.133, 0.070)
Ge (0.581, 0.867, 0.930)
Ge (0.867, 0.581, 0.430)
O (0.104, 0.230, 0.617)
O (0.112, 0.366, 0.445)
O (0.230, 0.104, 0.117)
O (0.332, 0.512, 0.619)
O (0.366, 0.112, 0.945)
O (0.488, 0.668, 0.881)
O (0.512, 0.332, 0.119)
O (0.634, 0.888, 0.055)
O (0.668, 0.488, 0.381)
O (0.770, 0.896, 0.883)
O (0.888, 0.634, 0.555)
O (0.896, 0.770, 0.383)

=====

No. 14
Cs2Ge2O5 | PBE-GGA | optimized geometry

Properties
SG	C2/m, No. 12

Lattice parameters (Å, degrees): 5.586 5.586 8.037 99.94 99.94 41.85
Fractional positions:
Cs (0.105, 0.105, 0.348)
Cs (0.895, 0.895, 0.652)
Ge (0.352, 0.352, 0.088)
Ge (0.648, 0.648, 0.912)
O (0.185, 0.185, 0.961)
O (0.383, 0.383, 0.306)
O (0.500, 0.500, 0.000)
O (0.617, 0.617, 0.694)
O (0.815, 0.815, 0.039)

=====

No. 15
Cs3Ge5O12 | PBE-GGA | optimized geometry

Properties
SG	Ia-3d, No. 230

Lattice parameters (Å, degrees): 11.406 11.406 11.406 109.47 109.47 109.47
Fractional positions:
Cs (0.125, 0.250, 0.375)
Cs (0.125, 0.375, 0.750)
Cs (0.250, 0.375, 0.125)
Cs (0.250, 0.875, 0.625)
Cs (0.375, 0.125, 0.250)
Cs (0.375, 0.750, 0.125)
Cs (0.625, 0.250, 0.875)
Cs (0.625, 0.875, 0.750)
Cs (0.750, 0.125, 0.375)
Cs (0.750, 0.625, 0.875)
Cs (0.875, 0.625, 0.250)
Cs (0.875, 0.750, 0.625)
Ge (0.000, 0.000, 0.000)
Ge (0.000, 0.000, 0.500)
Ge (0.000, 0.500, 0.000)
Ge (0.000, 0.500, 0.500)
Ge (0.125, 0.750, 0.875)
Ge (0.125, 0.875, 0.250)
Ge (0.250, 0.125, 0.875)
Ge (0.250, 0.625, 0.375)
Ge (0.375, 0.250, 0.625)
Ge (0.375, 0.625, 0.750)
Ge (0.500, 0.000, 0.000)
Ge (0.500, 0.000, 0.500)
Ge (0.500, 0.500, 0.000)
Ge (0.500, 0.500, 0.500)
Ge (0.625, 0.375, 0.250)
Ge (0.625, 0.750, 0.375)
Ge (0.750, 0.375, 0.625)
Ge (0.750, 0.875, 0.125)
Ge (0.875, 0.125, 0.750)
Ge (0.875, 0.250, 0.125)
O (0.011, 0.689, 0.105)
O (0.011, 0.823, 0.906)
O (0.084, 0.677, 0.689)
O (0.084, 0.906, 0.395)
O (0.094, 0.605, 0.916)
O (0.094, 0.989, 0.177)
O (0.105, 0.011, 0.689)
O (0.105, 0.594, 0.416)
O (0.177, 0.094, 0.989)
O (0.177, 0.584, 0.189)
O (0.189, 0.177, 0.584)
O (0.189, 0.511, 0.605)
O (0.311, 0.895, 0.989)
O (0.311, 0.916, 0.323)
O (0.323, 0.311, 0.916)
O (0.323, 0.511, 0.406)
O (0.395, 0.084, 0.906)
O (0.395, 0.811, 0.489)
O (0.406, 0.323, 0.511)
O (0.406, 0.584, 0.895)
O (0.416, 0.105, 0.594)
O (0.416, 0.811, 0.823)
O (0.489, 0.395, 0.811)
O (0.489, 0.594, 0.677)
O (0.511, 0.406, 0.323)
O (0.511, 0.605, 0.189)
O (0.584, 0.189, 0.177)
O (0.584, 0.895, 0.406)
O (0.594, 0.416, 0.105)
O (0.594, 0.677, 0.489)
O (0.605, 0.189, 0.511)
O (0.605, 0.916, 0.094)
O (0.677, 0.489, 0.594)
O (0.677, 0.689, 0.084)
O (0.689, 0.084, 0.677)
O (0.689, 0.105, 0.011)
O (0.811, 0.489, 0.395)
O (0.811, 0.823, 0.416)
O (0.823, 0.416, 0.811)
O (0.823, 0.906, 0.011)
O (0.895, 0.406, 0.584)
O (0.895, 0.989, 0.311)
O (0.906, 0.011, 0.823)
O (0.906, 0.395, 0.084)
O (0.916, 0.094, 0.605)
O (0.916, 0.323, 0.311)
O (0.989, 0.177, 0.094)
O (0.989, 0.311, 0.895)

=====

No. 16
CsGeO2 | PBE-GGA | optimized geometry

Properties
SG	R-3m, No. 166

Lattice parameters (Å, degrees): 7.568 7.568 7.568 30.08 30.08 30.08
Fractional positions:
Cs (0.000, 0.000, 0.000)
Ge (0.500, 0.500, 0.500)
O (0.422, 0.422, 0.422)
O (0.578, 0.578, 0.578)

=====

No. 17
Cs2GeO | PBE-GGA | optimized geometry

Properties
SG	I-42d, No. 122

Lattice parameters (Å, degrees): 9.227 9.227 9.227 92.93 92.93 153.87
Fractional positions:
Cs (0.375, 0.158, 0.283)
Cs (0.842, 0.125, 0.217)
Cs (0.875, 0.092, 0.717)
Cs (0.908, 0.625, 0.783)
Ge (0.250, 0.750, 0.500)
Ge (0.500, 0.500, 0.000)
O (0.000, 0.000, 0.000)
O (0.750, 0.250, 0.500)

=====

no.,uncorrected formation energy (eV per atom)
1,-0.68
2,-1.73
3,0.23
4,-1.71
5,0.31
6,0.73
7,-1.40
8,-1.20
9,-1.14
10,-1.33
11,2.31
12,-1.34
13,-1.54
14,-1.61
15,-1.22
16,-0.96
17,-0.45